Record 1
First-principles (PBE) data for a relaxed structure of CaAlI2O, as listed in Alexandria.

Properties
Total magnetic moment ... 1.018 μB per formula unit
Formation energy without anion corrections ... -3.361 eV/f.u.
Space group ... P4/mmm (123)
D(E_F) ... 4.46 states/eV per cell
Volume ... 33.9 Å³ per atom
Polymorph energy (0 for the lowest one) ... 2.582 eV/f.u.

Structure (POSCAR):
```
CaAlI2O
1.0
-6.044 -1.127 1.004
1.230 -6.080 0.576
0.613 0.530 4.290
I O Ca Al
2 1 1 1
Direct
0.000 0.500 0.000
0.500 0.000 0.000
0.000 0.000 0.500
0.000 0.000 0.000
0.500 0.500 0.500
```


Record 2
First-principles (PBE) data for a relaxed structure of NiC2, as listed in Alexandria.

Properties
Total magnetic moment ... 0.000 μB per formula unit
Space group ... P1 (1)
D(E_F) ... 1.09 states/eV per cell
Volume ... 8.9 Å³ per atom
Energy of formation ... 0.747 eV/atom
Polymorph energy (0 for the lowest one) ... 0.986 eV/f.u.

Structure (POSCAR):
```
NiC2
1.0
-2.261 -0.565 -0.940
1.353 -1.834 -2.155
-0.889 -1.716 3.208
Ni C
1 2
Direct
0.007 0.022 0.669
0.005 0.736 0.096
0.504 0.638 0.896
```


Record 3
First-principles (PBE) data for a relaxed structure of K2CuPt2, as listed in Alexandria.

Properties
Total magnetic moment ... 0.000 μB per formula unit
Space group ... P4/mbm (127)
D(E_F) ... 7.03 states/eV per cell
Volume ... 22.9 Å³ per atom
Energy of formation ... 0.054 eV/atom
Polymorph energy (0 for the lowest one) ... 0.695 eV/f.u.

Structure (POSCAR):
```
K2CuPt2
1.0
6.544 0.000 0.000
0.000 6.544 0.000
0.000 0.000 5.357
K Pt Cu
4 4 2
Direct
0.175 0.675 0.500
0.325 0.175 0.500
0.825 0.325 0.500
0.675 0.825 0.500
0.361 0.861 0.000
0.139 0.361 0.000
0.639 0.139 0.000
0.861 0.639 0.000
0.000 0.000 0.000
0.500 0.500 0.000
```


Record 4
First-principles (PBE) data for a relaxed structure of KFe3B, as listed in Alexandria.

Properties
Total magnetic moment ... 5.989 μB per formula unit
Space group ... Pm-3m (221)
D(E_F) ... 5.75 states/eV per cell
Volume ... 13.9 Å³ per atom
Energy of formation ... 0.825 eV/atom

Structure (POSCAR):
```
KFe3B
1.0
4.116 0.000 0.000
0.000 4.116 0.000
0.000 0.000 4.116
K Fe B
1 3 1
Direct
0.500 0.500 0.500
0.000 0.500 0.000
0.000 0.000 0.500
0.500 0.000 0.000
0.000 0.000 0.000
```


Which value of total magnetic moment does entry 2 give? 0.000 μB per formula unit


What is the total magnetic moment in the third record? 0.000 μB per formula unit